(1)
Below is KPa2TcO8 after structural relaxation, with properties calculated at the PBE-GGA level.

Computed properties:
Crystal system: monoclinic
Uncorrected formation energy in meV per atom: -2593
ρ in g/cm3: 6.69
Total magnetization in μB per cell: 2.000

```
data_KPa2TcO8
_cell_length_a 5.028
_cell_length_b 7.119
_cell_length_c 5.042
_cell_angle_alpha 90.00
_cell_angle_beta 91.59
_cell_angle_gamma 90.00
_symmetry_space_group_name_H-M 'P 1 2/m 1'
_symmetry_Int_Tables_number 10
_symmetry_space_group_name_Hall '-P 2y'
loop_
_atom_site_label
_atom_site_type_symbol
_atom_site_fract_x
_atom_site_fract_y
_atom_site_fract_z
_atom_site_occupancy
K1 K 0.000 0.000 0.000 1
Pa1 Pa 0.500 0.252 0.500 1
Tc1 Tc 0.000 0.500 0.000 1
O1 O 0.200 0.308 0.195 1
O2 O 0.293 0.500 0.704 1
O3 O 0.328 0.000 0.662 1
```

(2)
Below is KPaTe2O8 after structural relaxation, with properties calculated at the PBE-GGA level.

Computed properties:
Crystal system: trigonal
Uncorrected formation energy in meV per atom: -1667
ρ in g/cm3: 4.16
Total magnetization in μB per cell: 0.000

```
data_KPaTe2O8
_cell_length_a 6.2925
_cell_length_b 6.2925
_cell_length_c 7.5961
_cell_angle_alpha 90.00
_cell_angle_beta 90.00
_cell_angle_gamma 120.00
_symmetry_space_group_name_H-M 'P -3 m 1'
_symmetry_Int_Tables_number 164
_symmetry_space_group_name_Hall '-P 3 2"'
loop_
_atom_site_label
_atom_site_type_symbol
_atom_site_fract_x
_atom_site_fract_y
_atom_site_fract_z
_atom_site_occupancy
K1 K 0.0000 0.0000 0.0000 1
Pa1 Pa 0.0000 0.0000 0.5000 1
Te1 Te 0.3333 0.6667 0.2583 1
O1 O 0.1559 0.3117 0.3217 1
O2 O 0.3333 0.6667 0.0193 1
```

(3)
Below is KPa2TeO8 after structural relaxation, with properties calculated at the PBE-GGA level.

Computed properties:
Crystal system: monoclinic
Uncorrected formation energy in meV per atom: -2500
ρ in g/cm3: 6.65
Total magnetization in μB per cell: 0.000

```
data_KPa2TeO8
_cell_length_a 5.128
_cell_length_b 7.183
_cell_length_c 5.131
_cell_angle_alpha 90.00
_cell_angle_beta 91.78
_cell_angle_gamma 90.00
_symmetry_space_group_name_H-M 'P 1 2/m 1'
_symmetry_Int_Tables_number 10
_symmetry_space_group_name_Hall '-P 2y'
loop_
_atom_site_label
_atom_site_type_symbol
_atom_site_fract_x
_atom_site_fract_y
_atom_site_fract_z
_atom_site_occupancy
K1 K 0.000 0.000 0.000 1
Pa1 Pa 0.500 0.249 0.500 1
Te1 Te 0.000 0.500 0.000 1
O1 O 0.205 0.298 0.204 1
O2 O 0.299 0.500 0.700 1
O3 O 0.334 0.000 0.664 1
```

(4)
Below is KPaTeO2 after structural relaxation, with properties calculated at the PBE-GGA level.

Computed properties:
Crystal system: tetragonal
Uncorrected formation energy in meV per atom: -2368
ρ in g/cm3: 6.03
Total magnetization in μB per cell: 0.000

```
data_KPaTeO2
_cell_length_a 4.354
_cell_length_b 4.354
_cell_length_c 6.247
_cell_angle_alpha 90.00
_cell_angle_beta 90.00
_cell_angle_gamma 90.00
_symmetry_space_group_name_H-M 'P 4 m m'
_symmetry_Int_Tables_number 99
_symmetry_space_group_name_Hall 'P 4 -2'
loop_
_atom_site_label
_atom_site_type_symbol
_atom_site_fract_x
_atom_site_fract_y
_atom_site_fract_z
_atom_site_occupancy
K1 K 0.000 0.000 0.000 1
Pa1 Pa 0.500 0.500 0.339 1
Te1 Te 0.500 0.500 0.825 1
O1 O 0.000 0.500 0.310 1
```

(5)
Below is KPaTeO6 after structural relaxation, with properties calculated at the PBE-GGA level.

Computed properties:
Crystal system: trigonal
Uncorrected formation energy in meV per atom: -2125
ρ in g/cm3: 5.05
Total magnetization in μB per cell: 0.000

```
data_KPaTeO6
_cell_length_a 5.6855
_cell_length_b 5.6855
_cell_length_c 11.6015
_cell_angle_alpha 90.00
_cell_angle_beta 90.00
_cell_angle_gamma 120.00
_symmetry_space_group_name_H-M 'P -3 1 c'
_symmetry_Int_Tables_number 163
_symmetry_space_group_name_Hall '-P 3 2c'
loop_
_atom_site_label
_atom_site_type_symbol
_atom_site_fract_x
_atom_site_fract_y
_atom_site_fract_z
_atom_site_occupancy
K1 K 0.0000 0.0000 0.0000 1
Pa1 Pa 0.3333 0.6667 0.2500 1
Te1 Te 0.3333 0.6667 0.7500 1
O1 O 0.0325 0.3979 0.6556 1
```

(6)
Below is K3ThPa2O9 after structural relaxation, with properties calculated at the PBE-GGA level.

Computed properties:
Crystal system: trigonal
Uncorrected formation energy in meV per atom: -2969
ρ in g/cm3: 6.10
Total magnetization in μB per cell: 0.000

```
data_K3ThPa2O9
_cell_length_a 6.2595
_cell_length_b 6.2595
_cell_length_c 7.6697
_cell_angle_alpha 90.00
_cell_angle_beta 90.00
_cell_angle_gamma 120.00
_symmetry_space_group_name_H-M 'P -3 m 1'
_symmetry_Int_Tables_number 164
_symmetry_space_group_name_Hall '-P 3 2"'
loop_
_atom_site_label
_atom_site_type_symbol
_atom_site_fract_x
_atom_site_fract_y
_atom_site_fract_z
_atom_site_occupancy
K1 K 0.0000 0.0000 0.0000 1
K2 K 0.3333 0.6667 0.6671 1
Th1 Th 0.0000 0.0000 0.5000 1
Pa1 Pa 0.3333 0.6667 0.1643 1
O1 O 0.0000 0.5000 0.0000 1
O2 O 0.1717 0.3435 0.3255 1
```

(7)
Below is K2ThPa3O12 after structural relaxation, with properties calculated at the PBE-GGA level.

Computed properties:
Crystal system: trigonal
Uncorrected formation energy in meV per atom: -2858
ρ in g/cm3: 5.00
Total magnetization in μB per cell: 7.258

```
data_K2ThPa3O12
_cell_length_a 8.2504
_cell_length_b 8.2504
_cell_length_c 20.1846
_cell_angle_alpha 90.00
_cell_angle_beta 90.00
_cell_angle_gamma 120.00
_symmetry_space_group_name_H-M 'R -3 m'
_symmetry_Int_Tables_number 166
_symmetry_space_group_name_Hall '-R 3 2"'
loop_
_atom_site_label
_atom_site_type_symbol
_atom_site_fract_x
_atom_site_fract_y
_atom_site_fract_z
_atom_site_occupancy
K1 K 0.0000 0.0000 0.1865 1
Th1 Th 0.0000 0.0000 0.5000 1
Pa1 Pa 0.0000 0.5000 0.0000 1
O1 O 0.0677 0.5339 0.1018 1
O2 O 0.0991 0.5495 0.3565 1
```

(8)
Below is KThPaO6 after structural relaxation, with properties calculated at the PBE-GGA level.

Computed properties:
Crystal system: trigonal
Uncorrected formation energy in meV per atom: -2632
ρ in g/cm3: 6.14
Total magnetization in μB per cell: 2.024

```
data_KThPaO6
_cell_length_a 6.1402
_cell_length_b 6.1402
_cell_length_c 4.9569
_cell_angle_alpha 90.00
_cell_angle_beta 90.00
_cell_angle_gamma 120.00
_symmetry_space_group_name_H-M 'P 3 1 2'
_symmetry_Int_Tables_number 149
_symmetry_space_group_name_Hall 'P 3 2'
loop_
_atom_site_label
_atom_site_type_symbol
_atom_site_fract_x
_atom_site_fract_y
_atom_site_fract_z
_atom_site_occupancy
K1 K 0.0000 0.0000 0.0000 1
Th1 Th 0.3333 0.6667 0.0000 1
Pa1 Pa 0.6667 0.3333 0.5000 1
O1 O 0.4056 0.0147 0.2518 1
```

(9)
Below is K2ThPaO6 after structural relaxation, with properties calculated at the PBE-GGA level.

Computed properties:
Crystal system: cubic
Uncorrected formation energy in meV per atom: -2878
ρ in g/cm3: 6.01
Total magnetization in μB per cell: 0.000

```
data_K2ThPaO6
_cell_length_a 8.897
_cell_length_b 8.897
_cell_length_c 8.897
_cell_angle_alpha 90.00
_cell_angle_beta 90.00
_cell_angle_gamma 90.00
_symmetry_space_group_name_H-M 'F m -3 m'
_symmetry_Int_Tables_number 225
_symmetry_space_group_name_Hall '-F 4 2 3'
loop_
_atom_site_label
_atom_site_type_symbol
_atom_site_fract_x
_atom_site_fract_y
_atom_site_fract_z
_atom_site_occupancy
K1 K 0.250 0.250 0.250 1
Th1 Th 0.000 0.000 0.000 1
Pa1 Pa 0.000 0.000 0.500 1
O1 O 0.000 0.000 0.257 1
```

(10)
Below is K2PaTi3O12 after structural relaxation, with properties calculated at the PBE-GGA level.

Computed properties:
Crystal system: trigonal
Uncorrected formation energy in meV per atom: -2245
ρ in g/cm3: 3.65
Total magnetization in μB per cell: 15.162

```
data_K2PaTi3O12
_cell_length_a 7.4401
_cell_length_b 7.4401
_cell_length_c 18.3677
_cell_angle_alpha 90.00
_cell_angle_beta 90.00
_cell_angle_gamma 120.00
_symmetry_space_group_name_H-M 'R -3 m'
_symmetry_Int_Tables_number 166
_symmetry_space_group_name_Hall '-R 3 2"'
loop_
_atom_site_label
_atom_site_type_symbol
_atom_site_fract_x
_atom_site_fract_y
_atom_site_fract_z
_atom_site_occupancy
K1 K 0.0000 0.0000 0.1426 1
Pa1 Pa 0.0000 0.0000 0.5000 1
Ti1 Ti 0.0000 0.5000 0.0000 1
O1 O 0.0495 0.5248 0.1057 1
O2 O 0.0903 0.5451 0.3470 1
```

(11)
Below is KPaTiO6 after structural relaxation, with properties calculated at the PBE-GGA level.

Computed properties:
Crystal system: trigonal
Uncorrected formation energy in meV per atom: -2420
ρ in g/cm3: 5.05
Total magnetization in μB per cell: 2.027

```
data_KPaTiO6
_cell_length_a 5.7115
_cell_length_b 5.7115
_cell_length_c 4.8196
_cell_angle_alpha 90.00
_cell_angle_beta 90.00
_cell_angle_gamma 120.00
_symmetry_space_group_name_H-M 'P 3 1 2'
_symmetry_Int_Tables_number 149
_symmetry_space_group_name_Hall 'P 3 2'
loop_
_atom_site_label
_atom_site_type_symbol
_atom_site_fract_x
_atom_site_fract_y
_atom_site_fract_z
_atom_site_occupancy
K1 K 0.0000 0.0000 0.0000 1
Pa1 Pa 0.6667 0.3333 0.5000 1
Ti1 Ti 0.3333 0.6667 0.0000 1
O1 O 0.0182 0.4384 0.2368 1
```

(12)
Below is KPaTi2O8 after structural relaxation, with properties calculated at the PBE-GGA level.

Computed properties:
Crystal system: trigonal
Uncorrected formation energy in meV per atom: -2567
ρ in g/cm3: 3.48
Total magnetization in μB per cell: 2.023

```
data_KPaTi2O8
_cell_length_a 5.9723
_cell_length_b 5.9723
_cell_length_c 7.6325
_cell_angle_alpha 90.00
_cell_angle_beta 90.00
_cell_angle_gamma 120.00
_symmetry_space_group_name_H-M 'P -3 m 1'
_symmetry_Int_Tables_number 164
_symmetry_space_group_name_Hall '-P 3 2"'
loop_
_atom_site_label
_atom_site_type_symbol
_atom_site_fract_x
_atom_site_fract_y
_atom_site_fract_z
_atom_site_occupancy
K1 K 0.0000 0.0000 0.0000 1
Pa1 Pa 0.0000 0.0000 0.5000 1
Ti1 Ti 0.3333 0.6667 0.2506 1
O1 O 0.1648 0.3296 0.3240 1
O2 O 0.3333 0.6667 0.0125 1
```

Number 1: final energy -101.23 eV for the cell shown. Number 2: final energy -76.54 eV for the cell shown. Number 3: final energy -92.89 eV for the cell shown. Number 4: final energy -35.49 eV for the cell shown. Number 5: final energy -125.22 eV for the cell shown. Number 6: final energy -118.87 eV for the cell shown. Number 7: final energy -447.15 eV for the cell shown. Number 8: final energy -71.45 eV for the cell shown. Number 9: final energy -310.57 eV for the cell shown. Number 10: final energy -405.84 eV for the cell shown. Number 11: final energy -70.01 eV for the cell shown. Number 12: final energy -96.85 eV for the cell shown.